1.
Here is MnBN2O after structural relaxation from Alexandria. Energies are from PBE with a Hubbard U.

abc: 3.519 3.519 4.081
angles: 90.00 90.00 90.00
Fractional positions:
Mn: 0.000 0.000 0.000
B: 0.500 0.500 0.500
N: 0.000 0.500 0.000
N: 0.500 0.000 0.000
O: 0.000 0.000 0.500

SG: P4/mmm
DOS(E_F): 0.46 states/eV per atom

---

2.
Here is MnBN2O after structural relaxation from Alexandria. Energies are from PBE with a Hubbard U.

abc: 3.006 3.006 5.933
angles: 90.00 90.00 90.00
Fractional positions:
Mn: 0.000 0.000 0.000
B: 0.500 0.500 0.500
N: 0.000 0.500 0.500
N: 0.500 0.000 0.500
O: 0.500 0.500 0.000

SG: P4/mmm
DOS(E_F): 0.31 states/eV per atom

---

Number 1: density 3.6 g cm⁻³, E -26.3 eV per cell, total magnetic moment 0.00 Bohr magnetons per cell. Number 2: density 3.4 g cm⁻³, E -34.7 eV per cell, total magnetic moment 4.66 Bohr magnetons per cell.